Record 1
Here is FeHgCl2 after structural relaxation from Alexandria via LeMat-Bulk. Energies are from GGA-PBE.

Cell lengths 12.578, 3.341, 6.425 Å; angles 90.00, 120.61, 90.00 degrees
Space group Cm (No. 8)
One atom of each set of equivalent atoms:
Fe 0.000 0.000 0.000
Hg 0.231 0.000 0.469
Cl 0.069 0.500 0.837
Cl 0.412 0.000 0.124

Values from the calculation:
Formation energy without anion corrections: -418 meV/atom



Record 2
Here is FeHgCl2 after structural relaxation from Alexandria via LeMat-Bulk. Energies are from GGA-PBE.

Cell lengths 3.346, 6.956, 10.564 Å; angles 90.00, 90.00, 90.00 degrees
Space group Cmmm (No. 65)
One atom of each set of equivalent atoms:
Fe 0.000 0.000 0.000
Hg 0.000 0.000 0.500
Cl 0.000 0.500 0.156

Values from the calculation:
Formation energy without anion corrections: -385 meV/atom



These records have energy relative to the lowest polymorph listed for this composition values of 99.9, 132.8 meV/atom, in the order they appear.